VASP calculation (PBE) on TiCd3Au after structural relaxation.

Raw total energy, eV/atom: -2.21
ΔE to the lowest computed polymorph, eV/atom: 0.000
Energy of formation from the pure elements, eV/atom: 0.578
Volume, A^3/atom: 27.84
DOS(E_F), states/eV per cell: 4.18

a = 5.183 Å, b = 5.183 Å, c = 5.183 Å
α = 90.00°, β = 90.00°, γ = 90.00°
Positions (direct):
1 Ti 0.500 0.500 0.500
2 Au 0.000 0.000 0.000
3 Cd 0.000 0.000 0.500
4 Cd 0.000 0.500 0.000
5 Cd 0.500 0.000 0.000